Record 1
Sm2AgBi4 | PBE-GGA | optimized geometry

Computed properties:
energy relative to the elements	-0.507	eV per atom
M_tot	0.0	Bohr magnetons per cell

abc: 4.6270 4.6270 9.8320
angles: 90.00 90.00 90.00
With the nearest neighbours (Å) after each atom.
Sites, in units of the cell vectors:
Sm (0.0000, 0.5000, 0.2380)  2 Ag 3.29, 8 Bi 3.34-3.46
Bi (0.5000, 0.5000, 0.5000)  4 Bi 3.27, 4 Sm 3.46
Bi (0.5000, 0.0000, 0.1695)  2 Ag 2.85
Sm (0.5000, 0.0000, 0.7620)  2 Ag 3.29, 8 Bi 3.34-3.46
Ag (0.5000, 0.5000, 0.0000)  4 Bi 2.85
Bi (0.0000, 0.0000, 0.5000)  4 Bi 3.27, 4 Sm 3.46
Bi (0.0000, 0.5000, 0.8305)  2 Ag 2.85



Record 2
K3PmEr2O6 | PBE-GGA | optimized geometry

Computed properties:
uncorrected formation energy	-2.742	eV per atom
M_tot	0.0	Bohr magnetons per cell

abc: 6.0639 6.0639 6.5859
angles: 98.81 98.81 120.01
With the nearest neighbours (Å) after each atom.
Sites, in units of the cell vectors:
O (0.7179, 0.7179, 0.1858)  2 Er 2.31, 1 Pm 2.39
K (0.5000, 0.5000, 0.5000)  6 O 2.77-2.85
O (0.2821, 0.2821, 0.8142)  2 Er 2.31, 1 Pm 2.39
K (0.1680, 0.8320, 0.5000)  6 O 2.77-2.86
O (0.4057, 0.0618, 0.1855)  2 Er 2.30-2.31, 1 Pm 2.39
O (0.5943, 0.9382, 0.8145)  2 Er 2.30-2.31, 1 Pm 2.39
Pm (0.0000, 0.0000, 0.0000)  6 O 2.39
K (0.8320, 0.1680, 0.5000)  6 O 2.77-2.86
O (0.9382, 0.5943, 0.8145)  2 Er 2.30-2.31, 1 Pm 2.39
Er (0.3334, 0.6666, 0.0000)  6 O 2.30-2.31
O (0.0618, 0.4057, 0.1855)  2 Er 2.30-2.31, 1 Pm 2.39
Er (0.6666, 0.3334, 0.0000)  6 O 2.30-2.31